The following is a DFT calculation (PBE) of an optimized crystal structure of K3Nb7O19.

abc: 6.596 10.118 14.398
angles: 97.65 95.41 106.79
Element x y z (fractional)
1 K 0.000 0.177 0.095
2 K 0.000 0.823 0.905
3 K 0.354 0.022 0.636
4 K 0.401 0.586 0.214
5 K 0.599 0.414 0.786
6 K 0.646 0.978 0.364
7 Nb 0.010 0.851 0.190
8 Nb 0.158 0.222 0.348
9 Nb 0.168 0.317 0.581
10 Nb 0.218 0.520 0.961
11 Nb 0.368 0.623 0.505
12 Nb 0.380 0.709 0.742
13 Nb 0.442 0.904 0.108
14 Nb 0.558 0.096 0.892
15 Nb 0.620 0.291 0.258
16 Nb 0.632 0.377 0.495
17 Nb 0.782 0.480 0.039
18 Nb 0.832 0.683 0.419
19 Nb 0.842 0.778 0.652
20 Nb 0.990 0.149 0.810
21 O 0.071 0.039 0.281
22 O 0.085 0.451 0.066
23 O 0.091 0.730 0.687
24 O 0.093 0.164 0.473
25 O 0.107 0.233 0.685
26 O 0.114 0.652 0.460
27 O 0.121 0.935 0.090
28 O 0.130 0.340 0.877
29 O 0.282 0.525 0.626
30 O 0.289 0.609 0.838
31 O 0.291 0.833 0.223
32 O 0.293 0.113 0.844
33 O 0.311 0.417 0.453
34 O 0.328 0.722 0.032
35 O 0.330 0.315 0.254
36 O 0.464 0.893 0.804
37 O 0.473 0.307 0.594
38 O 0.496 0.218 0.393
39 O 0.500 0.000 0.000
40 O 0.500 0.500 0.000
41 O 0.504 0.782 0.607
42 O 0.527 0.693 0.406
43 O 0.536 0.107 0.196
44 O 0.670 0.685 0.746
45 O 0.672 0.278 0.968
46 O 0.689 0.583 0.547
47 O 0.707 0.887 0.156
48 O 0.709 0.167 0.777
49 O 0.711 0.391 0.162
50 O 0.718 0.475 0.374
51 O 0.870 0.660 0.123
52 O 0.879 0.065 0.910
53 O 0.886 0.348 0.540
54 O 0.893 0.767 0.315
55 O 0.907 0.836 0.527
56 O 0.909 0.270 0.313
57 O 0.915 0.549 0.934
58 O 0.929 0.961 0.719

Calculated values
Formation energy without anion corrections   -2.52 eV/atom
Symmetry   No. 2
Size of the total moment   0.000 μB/f.u.

---

The following is a DFT calculation (PBE) of an optimized crystal structure of GaSbRhI2.

abc: 5.521 5.521 5.328
angles: 90.00 90.00 90.00
Element x y z (fractional)
1 Ga 0.000 0.000 0.000
2 Sb 0.000 0.000 0.500
3 Rh 0.500 0.500 0.500
4 I 0.000 0.500 0.000
5 I 0.500 0.000 0.000

Calculated values
Formation energy without anion corrections   0.92 eV/atom
Symmetry   No. 123
Size of the total moment   1.376 μB/f.u.

---

The following is a DFT calculation (PBE) of an optimized crystal structure of FeCo4Br.

abc: 4.840 4.840 4.840
angles: 60.00 60.00 60.00
Element x y z (fractional)
1 Fe 0.000 0.000 0.000
2 Co 0.374 0.374 0.374
3 Co 0.374 0.374 0.879
4 Co 0.374 0.879 0.374
5 Co 0.879 0.374 0.374
6 Br 0.750 0.750 0.750

Calculated values
Formation energy without anion corrections   0.64 eV/atom
Symmetry   No. 216
Size of the total moment   10.088 μB/f.u.

---

Which of these has the highest size of the total moment? FeCo4Br